[1]
First-principles (PBE) data for a relaxed TbZrPt crystal, as listed in OQMD.

Cell and atoms, written as POSCAR:
```
TbZrPt
1.0
0.000 3.345 3.345
3.345 0.000 3.345
3.345 3.345 0.000
Tb Zr Pt
1 1 1
direct
0.000 0.000 0.000
0.500 0.500 0.500
0.250 0.250 0.250
```

Results
E_tot	-7.00	eV/atom
formation enthalpy at 0 K	-0.592	eV/atom
E above lowest polymorph	0	meV/atom



[2]
First-principles (PBE) data for a relaxed Tb2AlZn crystal, as listed in OQMD.

Cell and atoms, written as POSCAR:
```
Tb2AlZn
1.0
3.574 0.000 0.000
0.000 3.574 0.000
0.000 0.000 7.297
Tb Al Zn
2 1 1
direct
0.000 0.000 0.245
0.000 0.000 0.755
0.500 0.500 0.500
0.500 0.500 0.000
```

Results
E_tot	-3.95	eV/atom



[3]
First-principles (PBE) data for a relaxed HfTcNO crystal, as listed in OQMD.

Cell and atoms, written as POSCAR:
```
HfTcNO
1.0
3.279 0.000 0.000
0.000 5.831 0.000
0.000 0.000 5.474
Hf Tc N O
2 2 2 2
direct
0.000 0.142 0.000
0.000 0.858 0.500
0.500 0.262 0.559
0.500 0.738 0.059
0.000 0.222 0.378
0.000 0.778 0.878
0.500 0.370 0.918
0.500 0.630 0.418
```

Results
E_tot	-9.50	eV/atom
E above lowest polymorph	113	meV/atom



[4]
First-principles (PBE) data for a relaxed NaTbFeTe3 crystal, as listed in OQMD.

Cell and atoms, written as POSCAR:
```
NaTbFeTe3
1.0
12.016 0.000 0.000
0.000 4.403 0.000
0.000 0.000 12.913
Na Tb Fe Te
4 4 4 12
direct
0.199 0.250 0.014
0.301 0.750 0.514
0.699 0.250 0.486
0.801 0.750 0.986
0.027 0.250 0.306
0.473 0.750 0.806
0.527 0.250 0.194
0.973 0.750 0.694
0.248 0.250 0.716
0.252 0.750 0.216
0.748 0.250 0.784
0.752 0.750 0.284
0.053 0.750 0.139
0.099 0.250 0.568
0.212 0.750 0.822
0.288 0.250 0.322
0.401 0.750 0.068
0.447 0.250 0.639
0.553 0.750 0.361
0.599 0.250 0.932
0.712 0.750 0.678
0.788 0.250 0.178
0.901 0.750 0.432
0.947 0.250 0.861
```

Results
E_tot	-4.68	eV/atom
E above lowest polymorph	73	meV/atom



Q: The lowest E_tot belongs to which entry?
A: HfTcNO



Q: E_tot of number 4 (NaTbFeTe3)?
A: -4.68 eV/atom



Copy entry 1 word for word.
First-principles (PBE) data for a relaxed TbZrPt crystal, as listed in OQMD.

Cell and atoms, written as POSCAR:
```
TbZrPt
1.0
0.000 3.345 3.345
3.345 0.000 3.345
3.345 3.345 0.000
Tb Zr Pt
1 1 1
direct
0.000 0.000 0.000
0.500 0.500 0.500
0.250 0.250 0.250
```

Results
E_tot	-7.00	eV/atom
formation enthalpy at 0 K	-0.592	eV/atom
E above lowest polymorph	0	meV/atom



Q: Number 2 is which compound?
A: Tb2AlZn